No. 1
The following is a GGA-PBE calculation of TaMn2Pd8 after structural relaxation, from Alexandria.

- Formation energy: -0.26 eV/atom
- Calculated density: 10.92 Mg/m³
- Space group: Immm (71)
- Excess energy over the best structure of this formula in the dataset: 45 meV/atom
- Size of the total moment: 8.553 μB/cell

abc: 4.1211 6.9541 7.2841
angles: 118.51 106.43 90.00
Atoms (fractional coordinates):
1 Pd 0.0000 0.2955 0.0000
2 Mn 0.8099 0.3099 0.6199
3 Pd 0.3418 0.1174 0.6836
4 Ta 0.5000 0.0000 0.0000
5 Pd 0.3418 0.5663 0.6836
6 Pd 0.0000 0.7045 0.0000
7 Pd 0.8501 0.8501 0.7002
8 Pd 0.1499 0.1499 0.2998
9 Pd 0.6582 0.8826 0.3164
10 Pd 0.6582 0.4337 0.3164
11 Mn 0.1901 0.6901 0.3801

=====

No. 2
The following is a GGA-PBE calculation of Ta2MnPd6 after structural relaxation, from Alexandria.

- Formation energy: -0.20 eV/atom
- Calculated density: 12.13 Mg/m³
- Space group: Cmmm (65)
- Size of the total moment: 3.801 μB/cell

abc: 2.8068 7.4664 7.8381
angles: 118.44 90.01 90.00
Atoms (fractional coordinates):
1 Pd 0.5000 0.3180 0.0000
2 Pd 0.0001 0.6582 0.6796
3 Ta 0.4999 0.6825 0.3650
4 Pd 0.9999 0.9786 0.3204
5 Ta 0.5001 0.3175 0.6350
6 Mn 0.0000 0.0000 0.0000
7 Pd 0.0001 0.0214 0.6796
8 Pd 0.5000 0.6820 0.0000
9 Pd 0.9999 0.3418 0.3204

=====

No. 3
The following is a GGA-PBE calculation of Ta2MnPd8 after structural relaxation, from Alexandria.

- Formation energy: -0.34 eV/atom
- Calculated density: 12.15 Mg/m³
- Space group: C2/m (12)
- Size of the total moment: 4.135 μB/cell

abc: 3.9920 6.4372 7.3376
angles: 106.57 105.78 90.00
Atoms (fractional coordinates):
1 Pd 0.6795 0.9122 0.3590
2 Pd 0.1436 0.1959 0.2872
3 Pd 0.5997 0.4546 0.1993
4 Pd 0.9569 0.2698 0.9137
5 Ta 0.2207 0.6602 0.4414
6 Pd 0.0431 0.7302 0.0863
7 Pd 0.4003 0.5454 0.8007
8 Pd 0.8564 0.8041 0.7128
9 Ta 0.7793 0.3398 0.5586
10 Pd 0.3205 0.0878 0.6410
11 Mn 0.5000 0.0000 0.0000

=====

No. 4
The following is a GGA-PBE calculation of TaMnPd after structural relaxation, from Alexandria.

- Formation energy: 0.04 eV/atom
- Calculated density: 12.18 Mg/m³
- Space group: P3m1 (156)
- Size of the total moment: 3.029 μB/cell

abc: 2.7436 4.4322 4.4322
angles: 120.00 90.00 90.00
Atoms (fractional coordinates):
1 Ta 0.9931 0.0000 0.0000
2 Mn 0.6501 0.3333 0.6667
3 Pd 0.3568 0.6667 0.3333

=====

No. 5
The following is a GGA-PBE calculation of TaMnPd3 after structural relaxation, from Alexandria.

- Formation energy: -0.23 eV/atom
- Calculated density: 11.90 Mg/m³
- Space group: P-1 (2)
- Excess energy over the best structure of this formula in the dataset: 0 meV/atom
- Size of the total moment: 6.401 μB/cell

abc: 5.6084 4.8557 6.8353
angles: 117.72 89.91 72.53
Atoms (fractional coordinates):
1 Ta 0.2195 0.1983 0.4034
2 Mn 0.1031 0.5963 0.1995
3 Pd 0.3975 0.3938 0.7969
4 Pd 0.7191 0.1926 0.4022
5 Mn 0.8969 0.4037 0.8005
6 Ta 0.7805 0.8017 0.5966
7 Pd 0.5000 0.0000 0.0000
8 Pd 0.0000 0.0000 0.0000
9 Pd 0.6025 0.6062 0.2031
10 Pd 0.2809 0.8074 0.5978

=====

No. 6
The following is a GGA-PBE calculation of TaMnPd4 after structural relaxation, from Alexandria.

- Formation energy: -0.32 eV/atom
- Calculated density: 11.78 Mg/m³
- Space group: C2/m (12)
- Excess energy over the best structure of this formula in the dataset: 0 meV/atom
- Size of the total moment: 3.895 μB/cell

abc: 2.9104 4.8986 7.2016
angles: 99.28 78.34 72.72
Atoms (fractional coordinates):
1 Mn 0.5000 0.5000 0.5000
2 Pd 0.6751 0.9831 0.6666
3 Pd 0.3249 0.0169 0.3334
4 Ta 0.0000 0.0000 0.0000
5 Pd 0.8372 0.4963 0.8294
6 Pd 0.1628 0.5037 0.1706